## Na3Mg2PdO6 (GGA-PBE)

Data for crystalline Na3Mg2PdO6 at its relaxed geometry.

The density is 3975 kg/m3. For the formation energy from raw total energies, the calculation gives -1.608 eV per atom. The density of states at the Fermi level is 0.664 states/eV per atom.

The space group is C2/m (No. 12) and the conventional cell measures 5.3558, 9.2875 and 5.6671 Å, with angles of 90.00, 108.48 and 90.00 degrees. The asymmetric unit holds Na at (0.0000, 0.0000, 0.0000), Na at (0.0000, 0.3327, 0.0000), Mg at (0.0000, 0.1670, 0.5000), Pd at (0.0000, 0.5000, 0.5000), O at (0.2293, 0.3389, 0.7044) and O at (0.2458, 0.0000, 0.7027).